A geometry-optimized Na3SiBiBO7 structure, computed with PBE.

Calculated values
As for the space-group type: P2_1/m. The uncorrected formation energy comes out at -1994.7 meV/atom. Its total magnetization is 0.001 μB per formula unit. The value obtained for the density of states at the Fermi level is 6.8 states/eV per cell.

abc: 7.0101 5.4218 9.2966
angles: 90.35 90.00 90.00
Atoms (fractional coordinates):
Na: 0.2500 0.7610 0.9245
Na: 0.0085 0.2524 0.7571
Na: 0.4915 0.2524 0.7571
Na: 0.5085 0.7476 0.2429
Na: 0.9915 0.7476 0.2429
Na: 0.7500 0.2390 0.0755
Si: 0.2500 0.7146 0.5846
Si: 0.7500 0.2854 0.4154
Bi: 0.7500 0.7815 0.6513
Bi: 0.2500 0.2185 0.3487
B: 0.7500 0.7243 0.9406
B: 0.2500 0.2757 0.0594
O: 0.2500 0.3132 0.9164
O: 0.7500 0.9584 0.8749
O: 0.7500 0.5215 0.8425
O: 0.0687 0.8125 0.6830
O: 0.4313 0.8125 0.6830
O: 0.2500 0.4098 0.5738
O: 0.7500 0.1793 0.5813
O: 0.2500 0.8207 0.4187
O: 0.7500 0.5902 0.4262
O: 0.5687 0.1875 0.3170
O: 0.9313 0.1875 0.3170
O: 0.2500 0.4785 0.1575
O: 0.2500 0.0416 0.1251
O: 0.7500 0.6868 0.0836